1.
Here is a relaxed structure of TaAlFe2Ag from the Alexandria database. Energies are from PBE.

## Properties
As for the crystal system: tetragonal. The calculation puts the raw total energy at -5.5259 eV per atom. Its space group is P4/mmm (123). The calculated formation energy comes out at 1.548 eV per atom.

Structure (POSCAR):
```
TaAlFe2Ag
1.0
4.417 0.000 0.000
0.000 4.417 0.000
0.000 0.000 5.103
Ta Al Fe Ag
1 1 2 1
direct
0.000 0.000 0.000 Ta
0.500 0.500 0.500 Al
0.000 0.500 0.000 Fe
0.500 0.000 0.000 Fe
0.000 0.000 0.500 Ag
```

***

2.
Here is a relaxed structure of TiAlFeAg2 from the Alexandria database. Energies are from PBE.

## Properties
As for the crystal system: tetragonal. The calculation puts the raw total energy at -3.4548 eV per atom. Its space group is P4/mmm (123). The calculated formation energy comes out at 1.706 eV per atom.

Structure (POSCAR):
```
TiAlFeAg2
1.0
4.836 0.000 0.000
0.000 4.836 0.000
0.000 0.000 4.899
Ti Al Fe Ag
1 1 1 2
direct
0.000 0.000 0.000 Ti
0.000 0.000 0.500 Al
0.500 0.500 0.500 Fe
0.000 0.500 0.000 Ag
0.500 0.000 0.000 Ag
```

***

3.
Here is a relaxed structure of AlZn2FeAg from the Alexandria database. Energies are from PBE.

## Properties
As for the crystal system: tetragonal. The calculation puts the raw total energy at -2.6349 eV per atom. Its space group is P4/mmm (123). The calculated formation energy comes out at 0.886 eV per atom.

Structure (POSCAR):
```
AlZn2FeAg
1.0
4.761 0.000 0.000
0.000 4.761 0.000
0.000 0.000 4.925
Al Zn Fe Ag
1 2 1 1
direct
0.000 0.000 0.000 Al
0.000 0.500 0.500 Zn
0.500 0.000 0.500 Zn
0.500 0.500 0.000 Fe
0.500 0.500 0.500 Ag
```

***

4.
Here is a relaxed structure of Zr2AlFeAg from the Alexandria database. Energies are from PBE.

## Properties
As for the crystal system: tetragonal. The calculation puts the raw total energy at -5.6558 eV per atom. Its space group is P4/mmm (123). The calculated formation energy comes out at 0.775 eV per atom.

Structure (POSCAR):
```
Zr2AlFeAg
1.0
5.057 0.000 0.000
0.000 5.057 0.000
0.000 0.000 4.167
Zr Al Fe Ag
2 1 1 1
direct
0.000 0.500 0.000 Zr
0.500 0.000 0.000 Zr
0.000 0.000 0.000 Al
0.000 0.000 0.500 Fe
0.500 0.500 0.500 Ag
```

***

5.
Here is a relaxed structure of Al2GaAg2 from the Alexandria database. Energies are from PBE.

## Properties
As for the crystal system: tetragonal. The calculation puts the raw total energy at -3.2114 eV per atom. Its space group is P4/mbm (127). The calculated formation energy comes out at 0.032 eV per atom.

Structure (POSCAR):
```
Al2GaAg2
1.0
8.150 0.000 0.000
0.000 8.150 0.000
0.000 0.000 2.772
Al Ga Ag
4 2 4
direct
0.126 0.374 0.000 Al
0.374 0.874 0.000 Al
0.626 0.126 0.000 Al
0.874 0.626 0.000 Al
0.000 0.000 0.000 Ga
0.500 0.500 0.000 Ga
0.171 0.671 0.500 Ag
0.329 0.171 0.500 Ag
0.671 0.829 0.500 Ag
0.829 0.329 0.500 Ag
```

***

6.
Here is a relaxed structure of Al12Ga6Ag from the Alexandria database. Energies are from PBE.

## Properties
As for the crystal system: trigonal. The calculation puts the raw total energy at -3.3993 eV per atom. Its space group is R-3 (148). The calculated formation energy comes out at 0.070 eV per atom.

Structure (POSCAR):
```
Al12Ga6Ag
1.0
5.848 3.377 2.908
-5.848 3.377 2.908
0.000 -6.753 2.908
Al Ga Ag
12 6 1
direct
0.055 0.693 0.141 Al
0.115 0.396 0.285 Al
0.141 0.055 0.693 Al
0.285 0.115 0.396 Al
0.307 0.859 0.945 Al
0.396 0.285 0.115 Al
0.604 0.715 0.885 Al
0.693 0.141 0.055 Al
0.715 0.885 0.604 Al
0.859 0.945 0.307 Al
0.885 0.604 0.715 Al
0.945 0.307 0.859 Al
0.206 0.443 0.680 Ga
0.320 0.794 0.557 Ga
0.443 0.680 0.206 Ga
0.557 0.320 0.794 Ga
0.680 0.206 0.443 Ga
0.794 0.557 0.320 Ga
0.000 0.000 0.000 Ag
```

***

7.
Here is a relaxed structure of AlGa2Ag from the Alexandria database. Energies are from PBE.

## Properties
As for the crystal system: tetragonal. The calculation puts the raw total energy at -3.1281 eV per atom. Its space group is P4/mmm (123). The calculated formation energy comes out at 0.034 eV per atom.

Structure (POSCAR):
```
AlGa2Ag
1.0
2.923 0.000 0.000
0.000 2.923 0.000
0.000 0.000 8.202
Al Ga Ag
1 2 1
direct
0.000 0.000 0.000 Al
0.500 0.500 0.254 Ga
0.500 0.500 0.746 Ga
0.000 0.000 0.500 Ag
```

***

8.
Here is a relaxed structure of Al4GaAg7 from the Alexandria database. Energies are from PBE.

## Properties
As for the crystal system: triclinic. The calculation puts the raw total energy at -3.1762 eV per atom. Its space group is P-1 (2). The calculated formation energy comes out at -0.013 eV per atom.

Structure (POSCAR):
```
Al4GaAg7
1.0
5.214 0.000 0.000
-0.528 5.255 0.000
-0.371 -1.777 7.653
Al Ga Ag
4 1 7
direct
0.125 0.348 0.304 Al
0.318 0.866 0.245 Al
0.682 0.134 0.755 Al
0.875 0.652 0.696 Al
0.500 0.500 0.000 Ga
0.000 0.500 0.000 Ag
0.161 0.232 0.632 Ag
0.240 0.986 0.918 Ag
0.375 0.730 0.564 Ag
0.625 0.270 0.436 Ag
0.760 0.014 0.082 Ag
0.839 0.768 0.368 Ag
```

***

9.
Here is a relaxed structure of Al3GaAg7 from the Alexandria database. Energies are from PBE.

## Properties
As for the crystal system: monoclinic. The calculation puts the raw total energy at -3.0388 eV per atom. Its space group is C2/m (12). The calculated formation energy comes out at 0.072 eV per atom.

Structure (POSCAR):
```
Al3GaAg7
1.0
4.969 -4.724 0.000
4.969 4.724 0.000
-2.413 0.000 4.305
Al Ga Ag
3 1 7
direct
0.000 0.000 0.000 Al
0.219 0.781 0.500 Al
0.781 0.219 0.500 Al
0.500 0.500 0.000 Ga
0.015 0.603 0.808 Ag
0.193 0.193 0.693 Ag
0.397 0.985 0.192 Ag
0.500 0.500 0.500 Ag
0.603 0.015 0.808 Ag
0.807 0.807 0.307 Ag
0.985 0.397 0.192 Ag
```

***

10.
Here is a relaxed structure of Al2Ga5Ag12 from the Alexandria database. Energies are from PBE.

## Properties
As for the crystal system: monoclinic. The calculation puts the raw total energy at -2.8916 eV per atom. Its space group is C2/m (12). The calculated formation energy comes out at 0.100 eV per atom.

Structure (POSCAR):
```
Al2Ga5Ag12
1.0
7.879 -2.874 0.000
7.879 2.874 0.000
-2.277 0.000 8.110
Al Ga Ag
2 5 12
direct
0.244 0.756 0.000 Al
0.756 0.244 0.000 Al
0.133 0.133 0.872 Ga
0.215 0.215 0.403 Ga
0.500 0.500 0.500 Ga
0.785 0.785 0.597 Ga
0.867 0.867 0.128 Ga
0.028 0.028 0.311 Ag
0.052 0.539 0.872 Ag
0.106 0.614 0.400 Ag
0.386 0.894 0.600 Ag
0.418 0.418 0.735 Ag
0.461 0.948 0.128 Ag
0.539 0.052 0.872 Ag
0.582 0.582 0.265 Ag
0.614 0.106 0.400 Ag
0.894 0.386 0.600 Ag
0.948 0.461 0.128 Ag
0.972 0.972 0.689 Ag
```

***

11.
Here is a relaxed structure of Al12Ga6Ag from the Alexandria database. Energies are from PBE.

## Properties
As for the crystal system: trigonal. The calculation puts the raw total energy at -3.3652 eV per atom. Its space group is R-3 (148). The calculated formation energy comes out at 0.104 eV per atom.

Structure (POSCAR):
```
Al12Ga6Ag
1.0
5.756 3.323 3.355
-5.756 3.323 3.355
0.000 -6.646 3.355
Al Ga Ag
12 6 1
direct
0.037 0.891 0.323 Al
0.109 0.677 0.963 Al
0.193 0.474 0.632 Al
0.323 0.037 0.891 Al
0.368 0.807 0.526 Al
0.474 0.632 0.193 Al
0.526 0.368 0.807 Al
0.632 0.193 0.474 Al
0.677 0.963 0.109 Al
0.807 0.526 0.368 Al
0.891 0.323 0.037 Al
0.963 0.109 0.677 Al
0.043 0.780 0.644 Ga
0.220 0.356 0.957 Ga
0.356 0.957 0.220 Ga
0.644 0.043 0.780 Ga
0.780 0.644 0.043 Ga
0.957 0.220 0.356 Ga
0.500 0.500 0.500 Ag
```

***

12.
Here is a relaxed structure of AlGaAg2 from the Alexandria database. Energies are from PBE.

## Properties
As for the crystal system: monoclinic. The calculation puts the raw total energy at -3.1312 eV per atom. Its space group is Cm (8). The calculated formation energy comes out at -0.013 eV per atom.

Structure (POSCAR):
```
AlGaAg2
1.0
2.659 -1.460 0.000
2.659 1.460 0.000
-1.648 0.000 8.950
Al Ga Ag
1 1 2
direct
0.000 0.000 0.000 Al
0.830 0.830 0.500 Ga
0.258 0.258 0.758 Ag
0.403 0.403 0.242 Ag
```